(1)
Computed, not measured: a relaxed structure of Y4GaSe3 at the PBE level of DFT.

Geometry as POSCAR:
```
Y4GaSe3
1.0
-1.145 2.249 3.202
-6.792 -0.177 -2.304
1.148 -5.596 4.340
Ga Y Se
1 4 3
direct
0.500 0.000 0.000 Ga
0.000 0.757 0.757 Y
0.500 0.243 0.757 Y
0.000 0.243 0.243 Y
0.500 0.757 0.243 Y
0.000 0.500 0.000 Se
0.500 0.500 0.500 Se
0.000 0.000 0.500 Se
```

Calculated values
For the uncorrected formation energy, the calculation gives -1.53 eV per atom. Its space-group type is Cmmm, No. 65. The crystal system is orthorhombic. For the polymorph energy (0 for the lowest one), the calculation gives 10.3 meV per atom. For the volume, the calculation gives 24.788 Å³ per atom. The density of states at the Fermi level is 2.88 states/eV/cell.

(2)
Computed, not measured: a relaxed structure of CaLu3 at the PBE level of DFT.

Geometry as POSCAR:
```
CaLu3
1.0
-0.186 -2.659 -4.255
4.956 0.571 -0.573
0.787 -4.221 2.603
Lu Ca
3 1
direct
0.500 0.500 0.000 Lu
0.500 0.000 0.500 Lu
0.000 0.500 0.500 Lu
0.000 0.000 0.000 Ca
```

Calculated values
Its space-group type is Pm-3m, No. 221. The crystal system is cubic. The value obtained for the formation energy is 177 meV/atom. For the volume, the calculation gives 31.649 Å³ per atom. The density of states at the Fermi level is 8.05 states/eV/cell.

The highest volume belongs to which entry?
CaLu3

What is the volume in the second record?
31.649 Å³ per atom

Among the records above, which one has the lowest volume?
Y4GaSe3

What is the formula in the first record?
Y4GaSe3